{
  "formula": "SrSbIr",
  "functional": "PBE",
  "state": "optimized geometry",
  "lattice_angstrom": [[-1.8010, 1.8010, 5.7390], [1.8010, -1.8010, 5.7390], [1.8010, 1.8010, -5.7390]],
  "species": ["Sr", "Sb", "Ir"],
  "frac_coords": [[0.0000, 0.0000, 0.0000], [0.7139, 0.7139, 0.0000], [0.3004, 0.3004, 0.0000]],
  "total_magnetization_mub_per_cell": 0.0,
  "raw_formation_energy_ev_per_atom": -0.2857,
  "dos_at_fermi_per_ev_fu": 2.14
}